Run one
A relaxed structure of Sn2Bi2Au, computed with PBE.

Values from the calculation:
spin magnetization	0.00	μB per formula unit

```
Sn2Bi2Au
1.0
7.037 0.000 0.000
0.000 7.037 0.000
0.000 0.000 6.055
Sn Bi Au
4 4 2
Direct
0.145 0.355 0.000 Sn
0.355 0.855 0.000 Sn
0.645 0.145 0.000 Sn
0.855 0.645 0.000 Sn
0.238 0.262 0.500 Bi
0.262 0.762 0.500 Bi
0.738 0.238 0.500 Bi
0.762 0.738 0.500 Bi
0.000 0.000 0.000 Au
0.500 0.500 0.000 Au
```

Run two
A relaxed structure of Sn2Bi2Au, computed with PBE.

Values from the calculation:
spin magnetization	0.00	μB per formula unit

```
Sn2Bi2Au
1.0
7.773 0.000 0.000
0.000 7.773 0.000
0.000 0.000 4.996
Sn Bi Au
4 4 2
Direct
0.145 0.355 0.000 Sn
0.355 0.855 0.000 Sn
0.645 0.145 0.000 Sn
0.855 0.645 0.000 Sn
0.163 0.663 0.500 Bi
0.337 0.163 0.500 Bi
0.663 0.837 0.500 Bi
0.837 0.337 0.500 Bi
0.000 0.000 0.500 Au
0.500 0.500 0.500 Au
```

Run three
A relaxed structure of Sn2Bi2Au, computed with PBE.

Values from the calculation:
spin magnetization	0.00	μB per formula unit

```
Sn2Bi2Au
1.0
-2.065 2.065 8.579
2.065 -2.065 8.579
2.065 2.065 -8.579
Sn Bi Au
2 2 1
Direct
0.250 0.750 0.500 Sn
0.750 0.250 0.500 Sn
0.089 0.089 0.000 Bi
0.911 0.911 0.000 Bi
0.500 0.500 0.000 Au
```

In terms of stability, run one leads; the second structure lies 115 meV/atom higher.

Run one
A relaxed structure of Sn4BiAu2, computed with PBE.

Values from the calculation:
spin magnetization	0.00	μB per formula unit

```
Sn4BiAu2
1.0
-4.528 4.528 4.507
4.528 -4.528 4.507
4.528 4.528 -4.507
Sn Bi Au
8 2 4
Direct
0.035 0.433 0.269 Sn
0.164 0.766 0.731 Sn
0.183 0.285 0.769 Sn
0.234 0.965 0.398 Sn
0.516 0.414 0.231 Sn
0.567 0.836 0.602 Sn
0.586 0.817 0.102 Sn
0.715 0.484 0.898 Sn
0.000 0.000 0.000 Bi
0.750 0.250 0.500 Bi
0.163 0.625 0.038 Au
0.375 0.413 0.538 Au
0.587 0.125 0.962 Au
0.875 0.837 0.462 Au
```

Run two
A relaxed structure of Sn4BiAu2, computed with PBE.

Values from the calculation:
spin magnetization	0.00	μB per formula unit

```
Sn4BiAu2
1.0
-2.889 2.889 7.129
2.889 -2.889 7.129
2.889 2.889 -7.129
Sn Bi Au
4 1 2
Direct
0.000 0.500 0.500 Sn
0.222 0.222 0.000 Sn
0.500 0.000 0.500 Sn
0.778 0.778 0.000 Sn
0.000 0.000 0.000 Bi
0.405 0.405 0.000 Au
0.595 0.595 0.000 Au
```

In terms of stability, run one leads; the second structure lies 426 meV/atom higher.